a | Cd3TeMo | PBE | relaxed

a = 5.629 Å, b = 5.629 Å, c = 5.629 Å
α = 90.00°, β = 90.00°, γ = 90.00°
Space group Pm-3m (No. 221)
One atom of each set of equivalent atoms:
1 Cd 0.000 0.000 0.500 x3
2 Te 0.000 0.000 0.000 x1
3 Mo 0.500 0.500 0.500 x1



b | Cd3TeMo | PBE | relaxed

a = 5.433 Å, b = 5.433 Å, c = 5.433 Å
α = 90.00°, β = 90.00°, γ = 90.00°
Space group Pm-3m (No. 221)
One atom of each set of equivalent atoms:
1 Cd 0.000 0.000 0.500 x3
2 Te 0.500 0.500 0.500 x1
3 Mo 0.000 0.000 0.000 x1



Last place for stability: a



a | TlCdMo2 | PBE | relaxed

a = 3.388 Å, b = 4.629 Å, c = 9.527 Å
α = 90.00°, β = 90.00°, γ = 90.00°
Space group Cmmm (No. 65)
One atom of each set of equivalent atoms:
1 Tl 0.000 0.000 0.000 x2
2 Cd 0.000 0.000 0.500 x2
3 Mo 0.000 0.500 0.251 x4



b | TlCdMo2 | PBE | relaxed

a = 2.877 Å, b = 4.813 Å, c = 5.572 Å
α = 90.00°, β = 99.06°, γ = 90.00°
Space group P2/m (No. 10)
One atom of each set of equivalent atoms:
1 Tl 0.000 0.000 0.000 x1
2 Cd 0.500 0.000 0.500 x1
3 Mo 0.188 0.500 0.721 x2



c | TlCdMo2 | PBE | relaxed

a = 3.457 Å, b = 4.539 Å, c = 4.732 Å
α = 90.00°, β = 90.00°, γ = 90.00°
Space group Pmmm (No. 47)
One atom of each set of equivalent atoms:
1 Tl 0.000 0.000 0.000 x1
2 Cd 0.500 0.500 0.000 x1
3 Mo 0.000 0.500 0.500 x1
4 Mo 0.500 0.000 0.500 x1



d | TlCdMo2 | PBE | relaxed

a = 3.268 Å, b = 4.950 Å, c = 9.970 Å
α = 90.00°, β = 90.00°, γ = 90.00°
Space group Cmm2 (No. 35)
One atom of each set of equivalent atoms:
1 Tl 0.000 0.000 0.000 x2
2 Cd 0.000 0.500 0.703 x2
3 Mo 0.000 0.000 0.456 x2
4 Mo 0.000 0.500 0.264 x2



Last place for stability: a



a | TlCdMo2 | PBE | relaxed

a = 2.968 Å, b = 4.486 Å, c = 5.774 Å
α = 90.00°, β = 90.00°, γ = 90.00°
Space group Pmmm (No. 47)
One atom of each set of equivalent atoms:
1 Tl 0.000 0.000 0.000 x1
2 Cd 0.000 0.000 0.500 x1
3 Mo 0.500 0.500 0.291 x2



b | TlCdMo2 | PBE | relaxed

a = 5.702 Å, b = 9.477 Å, c = 2.858 Å
α = 90.00°, β = 105.78°, γ = 90.00°
Space group C2/m (No. 12)
One atom of each set of equivalent atoms:
1 Tl 0.000 0.000 0.000 x2
2 Cd 0.000 0.500 0.000 x2
3 Mo 0.250 0.250 0.500 x4



c | TlCdMo2 | PBE | relaxed

a = 7.630 Å, b = 7.630 Å, c = 5.576 Å
α = 90.00°, β = 90.00°, γ = 90.00°
Space group I-42d (No. 122)
One atom of each set of equivalent atoms:
1 Tl 0.000 0.000 0.000 x4
2 Cd 0.000 0.000 0.500 x4
3 Mo 0.249 0.250 0.125 x8



d | TlCdMo2 | PBE | relaxed

a = 3.329 Å, b = 4.896 Å, c = 9.555 Å
α = 90.00°, β = 90.00°, γ = 90.00°
Space group Imm2 (No. 44)
One atom of each set of equivalent atoms:
1 Tl 0.000 0.000 0.000 x2
2 Cd 0.000 0.500 0.773 x2
3 Mo 0.000 0.000 0.541 x2
4 Mo 0.000 0.500 0.233 x2



Last place for stability: c



a | TlCdMo2 | PBE | relaxed

a = 2.840 Å, b = 2.840 Å, c = 9.253 Å
α = 90.00°, β = 90.00°, γ = 90.00°
Space group P4/mmm (No. 123)
One atom of each set of equivalent atoms:
1 Tl 0.000 0.000 0.000 x1
2 Cd 0.000 0.000 0.500 x1
3 Mo 0.500 0.500 0.255 x2



b | TlCdMo2 | PBE | relaxed

a = 9.764 Å, b = 2.885 Å, c = 5.331 Å
α = 90.00°, β = 94.43°, γ = 90.00°
Space group Cm (No. 8)
One atom of each set of equivalent atoms:
1 Tl 0.000 0.000 0.000 x2
2 Cd 0.248 0.000 0.758 x2
3 Mo 0.005 0.500 0.484 x2
4 Mo 0.245 0.500 0.282 x2



Last place for stability: a



a | TlCdMo2 | PBE | relaxed

a = 6.639 Å, b = 6.639 Å, c = 6.639 Å
α = 90.00°, β = 90.00°, γ = 90.00°
Space group Fm-3m (No. 225)
One atom of each set of equivalent atoms:
1 Tl 0.000 0.000 0.000 x4
2 Cd 0.000 0.000 0.500 x4
3 Mo 0.250 0.250 0.250 x8



b | TlCdMo2 | PBE | relaxed

a = 4.214 Å, b = 4.214 Å, c = 8.275 Å
α = 90.00°, β = 90.00°, γ = 90.00°
Space group I-4m2 (No. 119)
One atom of each set of equivalent atoms:
1 Tl 0.000 0.000 0.000 x2
2 Cd 0.000 0.500 0.750 x2
3 Mo 0.000 0.000 0.500 x2
4 Mo 0.000 0.500 0.250 x2



Last place for stability: a



a | VCd2Mo | PBE | relaxed

a = 6.632 Å, b = 6.632 Å, c = 6.632 Å
α = 90.00°, β = 90.00°, γ = 90.00°
Space group Fm-3m (No. 225)
One atom of each set of equivalent atoms:
1 V 0.000 0.000 0.000 x4
2 Cd 0.250 0.250 0.250 x8
3 Mo 0.000 0.000 0.500 x4



b | VCd2Mo | PBE | relaxed

a = 7.575 Å, b = 7.575 Å, c = 5.375 Å
α = 90.00°, β = 90.00°, γ = 90.00°
Space group I-42d (No. 122)
One atom of each set of equivalent atoms:
1 V 0.000 0.000 0.000 x4
2 Cd 0.244 0.750 0.125 x8
3 Mo 0.000 0.000 0.500 x4



Last place for stability: b



a | CdMoW | PBE | relaxed

a = 3.217 Å, b = 4.602 Å, c = 14.265 Å
α = 90.00°, β = 90.00°, γ = 90.00°
Space group Fmm2 (No. 42)
One atom of each set of equivalent atoms:
1 Cd 0.000 0.000 0.000 x4
2 Mo 0.000 0.000 0.324 x4
3 W 0.000 0.000 0.678 x4



b | CdMoW | PBE | relaxed

a = 2.716 Å, b = 2.716 Å, c = 14.084 Å
α = 90.00°, β = 90.00°, γ = 90.00°
Space group I4mm (No. 107)
One atom of each set of equivalent atoms:
1 Cd 0.000 0.000 0.000 x2
2 Mo 0.000 0.000 0.331 x2
3 W 0.000 0.000 0.669 x2



c | CdMoW | PBE | relaxed

a = 3.319 Å, b = 3.319 Å, c = 9.677 Å
α = 90.00°, β = 90.00°, γ = 90.00°
Space group I4mm (No. 107)
One atom of each set of equivalent atoms:
1 Cd 0.000 0.000 0.000 x2
2 Mo 0.000 0.000 0.312 x2
3 W 0.000 0.000 0.688 x2



d | CdMoW | PBE | relaxed

a = 4.6422 Å, b = 4.6422 Å, c = 2.7516 Å
α = 90.00°, β = 90.00°, γ = 120.00°
Space group P3m1 (No. 156)
One atom of each set of equivalent atoms:
1 Cd 0.0000 0.0000 0.0000 x1
2 Mo 0.3333 0.6667 0.3761 x1
3 W 0.6667 0.3333 0.6239 x1



Last place for stability: b



a | CdMoW | PBE | relaxed

a = 6.277 Å, b = 6.277 Å, c = 6.277 Å
α = 90.00°, β = 90.00°, γ = 90.00°
Space group F-43m (No. 216)
One atom of each set of equivalent atoms:
1 Cd 0.000 0.000 0.000 x4
2 Mo 0.250 0.250 0.250 x4
3 W 0.000 0.000 0.500 x4



b | CdMoW | PBE | relaxed

a = 2.709 Å, b = 4.441 Å, c = 8.526 Å
α = 90.00°, β = 90.00°, γ = 90.00°
Space group Imm2 (No. 44)
One atom of each set of equivalent atoms:
1 Cd 0.000 0.000 0.000 x2
2 Mo 0.000 0.000 0.666 x2
3 W 0.000 0.000 0.334 x2



Last place for stability: a



a | CdMo3W | PBE | relaxed

a = 4.747 Å, b = 4.747 Å, c = 4.747 Å
α = 90.00°, β = 90.00°, γ = 90.00°
Space group Pm-3m (No. 221)
One atom of each set of equivalent atoms:
1 Cd 0.000 0.000 0.000 x1
2 Mo 0.000 0.000 0.500 x3
3 W 0.500 0.500 0.500 x1



b | CdMo3W | PBE | relaxed

a = 4.787 Å, b = 4.787 Å, c = 4.787 Å
α = 90.00°, β = 90.00°, γ = 90.00°
Space group Pm-3m (No. 221)
One atom of each set of equivalent atoms:
1 Cd 0.000 0.000 0.000 x1
2 Mo 0.000 0.500 0.500 x3
3 W 0.500 0.500 0.500 x1



Last place for stability: a



a | Y2Cd2Mo | PBE | relaxed

a = 7.875 Å, b = 7.875 Å, c = 4.020 Å
α = 90.00°, β = 90.00°, γ = 90.00°
Space group P4/mbm (No. 127)
One atom of each set of equivalent atoms:
1 Y 0.176 0.324 0.000 x4
2 Cd 0.129 0.629 0.500 x4
3 Mo 0.000 0.000 0.500 x2



b | Y2Cd2Mo | PBE | relaxed

a = 4.426 Å, b = 4.426 Å, c = 13.889 Å
α = 90.00°, β = 90.00°, γ = 90.00°
Space group I4/mmm (No. 139)
One atom of each set of equivalent atoms:
1 Y 0.000 0.500 0.250 x4
2 Cd 0.000 0.000 0.095 x4
3 Mo 0.000 0.000 0.500 x2



Last place for stability: b



a | ZnCd3Mo | PBE | relaxed

a = 5.521 Å, b = 5.521 Å, c = 5.521 Å
α = 90.00°, β = 90.00°, γ = 90.00°
Space group Pm-3m (No. 221)
One atom of each set of equivalent atoms:
1 Zn 0.000 0.000 0.000 x1
2 Cd 0.000 0.500 0.500 x3
3 Mo 0.500 0.500 0.500 x1



b | ZnCd3Mo | PBE | relaxed

a = 4.955 Å, b = 4.955 Å, c = 4.955 Å
α = 90.00°, β = 90.00°, γ = 90.00°
Space group Pm-3m (No. 221)
One atom of each set of equivalent atoms:
1 Zn 0.000 0.000 0.000 x1
2 Cd 0.000 0.000 0.500 x3
3 Mo 0.500 0.500 0.500 x1



Last place for stability: a